# 1
Below is crystalline BaCa2Sn2 at its relaxed geometry, with properties calculated at the GGA-PBE level.

Cell lengths 5.193, 5.193, 13.616 Å; angles 90.00, 90.00, 90.00 degrees
Space group I4/mmm (No. 139)
Inequivalent atoms, fractional coordinates:
Ba  0.000  0.000  0.000 (multiplicity 2)
Ca  0.000  0.500  0.250 (multiplicity 4)
Sn  0.000  0.000  0.392 (multiplicity 4)

Computed properties:
The calculation puts the energy above the most stable polymorph in this dataset at 1.9 kJ/mol of atoms.

***

# 2
Below is crystalline ZnSi2Tc at its relaxed geometry, with properties calculated at the GGA-PBE level.

Cell lengths 5.600, 5.600, 10.958 Å; angles 90.00, 90.00, 90.00 degrees
Space group I-42d (No. 122)
Inequivalent atoms, fractional coordinates:
Zn  0.000  0.000  0.000 (multiplicity 4)
Si  0.224  0.250  0.625 (multiplicity 8)
Tc  0.000  0.000  0.500 (multiplicity 4)

Computed properties:
The calculation puts the energy above the most stable polymorph in this dataset at 71.4 kJ/mol of atoms. The value obtained for the energy relative to the elements, uncorrected is 243 kJ/mol of formula units.

***

# 3
Below is crystalline GdScAg2 at its relaxed geometry, with properties calculated at the GGA-PBE level.

Cell lengths 3.502, 3.502, 7.286 Å; angles 90.00, 90.00, 90.00 degrees
Space group P4/mmm (No. 123)
Inequivalent atoms, fractional coordinates:
Gd  0.000  0.000  0.000 (multiplicity 1)
Sc  0.000  0.000  0.500 (multiplicity 1)
Ag  0.500  0.500  0.280 (multiplicity 2)

***

# 4
Below is crystalline LiDy2Al3 at its relaxed geometry, with properties calculated at the GGA-PBE level.

Cell lengths 5.6308, 5.6308, 8.9304 Å; angles 90.00, 90.00, 120.00 degrees
Space group P6_3/mmc (No. 194)
Inequivalent atoms, fractional coordinates:
Li  0.0000  0.0000  0.0000 (multiplicity 2)
Dy  0.3333  0.6667  0.0718 (multiplicity 4)
Al  0.1694  0.3387  0.7500 (multiplicity 6)

Computed properties:
The calculation puts the energy above the most stable polymorph in this dataset at 0.0 kJ/mol of atoms.

***

# 5
Below is crystalline In5Br4 at its relaxed geometry, with properties calculated at the GGA-PBE level.

Cell lengths 11.942, 11.942, 4.449 Å; angles 90.00, 90.00, 90.00 degrees
Space group I4/mmm (No. 139)
Inequivalent atoms, fractional coordinates:
In  0.000  0.000  0.000 (multiplicity 2)
In  0.173  0.173  0.500 (multiplicity 8)
Br  0.000  0.270  0.000 (multiplicity 8)

Computed properties:
The value obtained for the energy relative to the elements, uncorrected is -402 kJ/mol of formula units.

***

# 6
Below is crystalline LaMg2Ni at its relaxed geometry, with properties calculated at the GGA-PBE level.

Cell lengths 3.171, 4.957, 11.455 Å; angles 90.00, 90.00, 90.00 degrees
Space group Immm (No. 71)
Inequivalent atoms, fractional coordinates:
La  0.000  0.000  0.000 (multiplicity 2)
Mg  0.000  0.500  0.199 (multiplicity 4)
Ni  0.000  0.000  0.500 (multiplicity 2)

***

# 7
Below is crystalline KNb2Si at its relaxed geometry, with properties calculated at the GGA-PBE level.

Cell lengths 4.852, 4.852, 18.978 Å; angles 90.00, 90.00, 90.00 degrees
Space group I-42d (No. 122)
Inequivalent atoms, fractional coordinates:
K  0.000  0.000  0.000 (multiplicity 4)
Nb  0.053  0.250  0.625 (multiplicity 8)
Si  0.000  0.000  0.500 (multiplicity 4)

Computed properties:
The value obtained for the energy relative to the elements, uncorrected is 403 kJ/mol of formula units.

***

# 8
Below is crystalline NaSi2RhO6 at its relaxed geometry, with properties calculated at the GGA-PBE level.

Cell lengths 10.170, 9.270, 5.348 Å; angles 90.00, 107.59, 90.00 degrees
Space group C2/c (No. 15)
Inequivalent atoms, fractional coordinates:
Na  0.000  0.096  0.250 (multiplicity 4)
Si  0.212  0.410  0.152 (multiplicity 8)
Rh  0.000  0.273  0.750 (multiplicity 4)
O  0.118  0.269  0.135 (multiplicity 8)
O  0.124  0.109  0.703 (multiplicity 8)
O  0.164  0.459  0.829 (multiplicity 8)

Computed properties:
The value obtained for the energy relative to the elements, uncorrected is -1905 kJ/mol of formula units.

***

# 9
Below is crystalline Ac3Ni2B2N3 at its relaxed geometry, with properties calculated at the GGA-PBE level.

Cell lengths 3.904, 3.904, 20.359 Å; angles 90.00, 90.00, 90.00 degrees
Space group I4/mmm (No. 139)
Inequivalent atoms, fractional coordinates:
Ac  0.000  0.000  0.000 (multiplicity 2)
Ac  0.000  0.000  0.366 (multiplicity 4)
Ni  0.000  0.500  0.250 (multiplicity 4)
B  0.000  0.000  0.202 (multiplicity 4)
N  0.000  0.000  0.131 (multiplicity 4)
N  0.000  0.000  0.500 (multiplicity 2)

Computed properties:
The value obtained for the energy relative to the elements, uncorrected is -844 kJ/mol of formula units.

***

# 10
Below is crystalline YBeAu at its relaxed geometry, with properties calculated at the GGA-PBE level.

Cell lengths 7.116, 4.338, 7.257 Å; angles 90.00, 90.00, 90.00 degrees
Space group Pnma (No. 62)
Inequivalent atoms, fractional coordinates:
Y  0.000  0.250  0.205 (multiplicity 4)
Be  0.186  0.250  0.579 (multiplicity 4)
Au  0.205  0.750  0.412 (multiplicity 4)

Computed properties:
The calculation puts the energy above the most stable polymorph in this dataset at 0.3 kJ/mol of atoms.

***

# 11
Below is crystalline KSi at its relaxed geometry, with properties calculated at the GGA-PBE level.

Cell lengths 3.039, 3.039, 5.433 Å; angles 90.00, 90.00, 90.00 degrees
Space group P4/mmm (No. 123)
Inequivalent atoms, fractional coordinates:
K  0.000  0.000  0.000 (multiplicity 1)
Si  0.500  0.500  0.500 (multiplicity 1)

Computed properties:
The calculation puts the energy above the most stable polymorph in this dataset at 63.5 kJ/mol of atoms. The value obtained for the energy relative to the elements, uncorrected is 113 kJ/mol of formula units.

***

# 12
Below is crystalline CaBe2AlPt at its relaxed geometry, with properties calculated at the GGA-PBE level.

Cell lengths 4.413, 4.413, 4.755 Å; angles 90.00, 90.00, 90.00 degrees
Space group P4/mmm (No. 123)
Inequivalent atoms, fractional coordinates:
Ca  0.000  0.000  0.000 (multiplicity 1)
Be  0.000  0.500  0.500 (multiplicity 2)
Al  0.500  0.500  0.500 (multiplicity 1)
Pt  0.500  0.500  0.000 (multiplicity 1)

***

# 13
Below is crystalline LiTcPt2 at its relaxed geometry, with properties calculated at the GGA-PBE level.

Cell lengths 5.607, 7.655, 2.704 Å; angles 90.00, 90.00, 90.00 degrees
Space group Cmmm (No. 65)
Inequivalent atoms, fractional coordinates:
Li  0.000  0.000  0.000 (multiplicity 2)
Tc  0.000  0.500  0.000 (multiplicity 2)
Pt  0.250  0.250  0.500 (multiplicity 4)

Computed properties:
The calculation puts the energy above the most stable polymorph in this dataset at 2.1 kJ/mol of atoms.

***

# 14
Below is crystalline ScTlCoBi2 at its relaxed geometry, with properties calculated at the GGA-PBE level.

Cell lengths 5.770, 5.770, 5.386 Å; angles 90.00, 90.00, 90.00 degrees
Space group P4/mmm (No. 123)
Inequivalent atoms, fractional coordinates:
Sc  0.000  0.000  0.000 (multiplicity 1)
Tl  0.000  0.000  0.500 (multiplicity 1)
Co  0.500  0.500  0.000 (multiplicity 1)
Bi  0.000  0.500  0.500 (multiplicity 2)

***

# 15
Below is crystalline Pr6S5F at its relaxed geometry, with properties calculated at the GGA-PBE level.

Cell lengths 7.077, 12.127, 7.040 Å; angles 90.00, 109.25, 90.00 degrees
Space group C2/m (No. 12)
Inequivalent atoms, fractional coordinates:
Pr  0.245  0.000  0.257 (multiplicity 4)
Pr  0.245  0.170  0.746 (multiplicity 8)
S  0.000  0.000  0.500 (multiplicity 2)
S  0.000  0.167  0.000 (multiplicity 4)
S  0.000  0.333  0.500 (multiplicity 4)
F  0.000  0.500  0.000 (multiplicity 2)

Computed properties:
The value obtained for the energy relative to the elements, uncorrected is -2374 kJ/mol of formula units.

***

# 16
Below is crystalline Ac6Sn5I at its relaxed geometry, with properties calculated at the GGA-PBE level.

Cell lengths 8.343, 14.609, 8.298 Å; angles 90.00, 110.00, 90.00 degrees
Space group C2/m (No. 12)
Inequivalent atoms, fractional coordinates:
Ac  0.243  0.000  0.251 (multiplicity 4)
Ac  0.243  0.170  0.740 (multiplicity 8)
Sn  0.000  0.000  0.500 (multiplicity 2)
Sn  0.000  0.168  0.000 (multiplicity 4)
Sn  0.000  0.341  0.500 (multiplicity 4)
I  0.000  0.500  0.000 (multiplicity 2)

Computed properties:
The value obtained for the energy relative to the elements, uncorrected is -809 kJ/mol of formula units.

***

# 17
Below is crystalline Nd8C3S3O at its relaxed geometry, with properties calculated at the GGA-PBE level.

Cell lengths 7.6939, 7.6939, 19.6317 Å; angles 90.00, 90.00, 120.00 degrees
Space group R-3m (No. 166, hexagonal axes)
Inequivalent atoms, fractional coordinates:
Nd  0.0000  0.0000  0.2404 (multiplicity 6)
Nd  0.0056  0.5028  0.7612 (multiplicity 18)
C  0.0000  0.5000  0.5000 (multiplicity 9)
S  0.0000  0.5000  0.0000 (multiplicity 9)
O  0.0000  0.0000  0.5000 (multiplicity 3)

Computed properties:
The value obtained for the energy relative to the elements, uncorrected is -1787 kJ/mol of formula units.

***

# 18
Below is crystalline NaSrMg2Cd4 at its relaxed geometry, with properties calculated at the GGA-PBE level.

Cell lengths 5.1233, 5.1233, 27.0534 Å; angles 90.00, 90.00, 120.00 degrees
Space group R-3m (No. 166, hexagonal axes)
Inequivalent atoms, fractional coordinates:
Na  0.0000  0.0000  0.0000 (multiplicity 3)
Sr  0.0000  0.0000  0.5000 (multiplicity 3)
Mg  0.0000  0.0000  0.2551 (multiplicity 6)
Cd  0.0000  0.0000  0.1114 (multiplicity 6)
Cd  0.0000  0.0000  0.3717 (multiplicity 6)

***

# 19
Below is crystalline AlSnS3 at its relaxed geometry, with properties calculated at the GGA-PBE level.

Cell lengths 3.616, 8.141, 10.001 Å; angles 90.00, 90.00, 90.00 degrees
Space group Amm2 (No. 38)
Inequivalent atoms, fractional coordinates:
Al  0.000  0.000  0.000 (multiplicity 2)
Sn  0.500  0.000  0.595 (multiplicity 2)
S  0.000  0.000  0.768 (multiplicity 2)
S  0.500  0.173  0.060 (multiplicity 4)

Computed properties:
The value obtained for the energy relative to the elements, uncorrected is -248 kJ/mol of formula units.

***

# 20
Below is crystalline TeBr at its relaxed geometry, with properties calculated at the GGA-PBE level.

Cell lengths 4.349, 4.349, 7.549 Å; angles 90.00, 90.00, 90.00 degrees
Space group P4/nmm (No. 129, origin choice 2)
Inequivalent atoms, fractional coordinates:
Te  0.250  0.750  0.000 (multiplicity 2)
Br  0.250  0.250  0.318 (multiplicity 2)

Computed properties:
The value obtained for the energy relative to the elements, uncorrected is 43 kJ/mol of formula units.

***

E_tot for the records above, in order: -3.363; -4.992; -6.810; -4.118; -2.727; -3.581; -5.621; -6.901; -7.097; -5.010; -2.675; -3.665; -6.408; -3.431; -6.316; -4.550; -6.778; -1.378; -4.539; -2.187 eV/atom
Ρ for the records above, in order: 4.11; 4.24; 7.77; 5.59; 4.68; 4.54; 3.76; 3.84; 9.23; 8.74; 2.22; 5.02; 14.17; 6.72; 5.97; 7.28; 6.45; 4.93; 2.73; 4.83 g cm⁻³
Total magnetic moment for the records above, in order: 0.000; 0.000; 7.301; 0.000; 0.000; 0.001; 0.000; 0.000; 0.000; 0.000; 0.000; 0.000; 0.760; 2.248; 0.000; 0.000; 0.000; 0.000; 0.000; 0.000 μB per formula unit